(1)
Entry from Alexandria via LeMat-Bulk: a geometry-optimized Li3Hg10Pb structure (GGA-PBE).

a = 9.9187 Å, b = 9.9187 Å, c = 9.9187 Å
α = 60.00°, β = 60.00°, γ = 60.00°
With the nearest neighbours (Å) after each atom.
Fractional positions:
Pb 0.2500 0.2500 0.2500  4 Hg 3.09
Pb 0.7500 0.7500 0.7500  4 Hg 3.09
Hg 0.3336 0.6664 0.0000  2 Li 2.84
Hg 0.3336 0.0000 0.0000  2 Li 2.84
Hg 0.6664 0.3336 0.0000  2 Li 2.84
Hg 0.3773 0.8680 0.3773  3 Li 2.78, 1 Pb 3.09
Hg 0.8680 0.3773 0.3773  3 Li 2.78, 1 Pb 3.09
Hg 0.0000 0.6664 0.3336  2 Li 2.84
Hg 0.6227 0.6227 0.6227  3 Li 2.78, 1 Pb 3.09
Hg 0.3773 0.3773 0.3773  3 Li 2.78, 1 Pb 3.09
Hg 0.3336 0.0000 0.6664  2 Li 2.84
Hg 0.1320 0.6227 0.6227  3 Li 2.78, 1 Pb 3.09
Hg 0.6664 0.0000 0.3336  2 Li 2.84
Hg 0.3773 0.3773 0.8680  3 Li 2.78, 1 Pb 3.09
Hg 0.0000 0.0000 0.3336  2 Li 2.84
Hg 0.6664 0.0000 0.0000  2 Li 2.84
Hg 0.6227 0.6227 0.1320  3 Li 2.78, 1 Pb 3.09
Hg 0.0000 0.3336 0.0000  2 Li 2.84
Hg 0.6227 0.1320 0.6227  3 Li 2.78, 1 Pb 3.09
Hg 0.0000 0.3336 0.6664  2 Li 2.84
Hg 0.0000 0.0000 0.6664  2 Li 2.84
Hg 0.0000 0.6664 0.0000  2 Li 2.84
Li 0.2815 0.2815 0.7185  8 Hg 2.78-2.84
Li 0.7185 0.2815 0.2815  8 Hg 2.78-2.84
Li 0.7185 0.7185 0.2815  8 Hg 2.78-2.84
Li 0.2815 0.7185 0.2815  8 Hg 2.78-2.84
Li 0.2815 0.7185 0.7185  8 Hg 2.78-2.84
Li 0.7185 0.2815 0.7185  8 Hg 2.78-2.84

Computed properties:
Spin magnetization ... 0.00 Bohr magnetons per cell
ρ ... 10.8 g cm⁻³
Calculated total energy ... -27.6 eV for the cell shown

---

(2)
Entry from Alexandria via LeMat-Bulk: a geometry-optimized Cs2ReI7 structure (GGA-PBE).

a = 8.6846 Å, b = 8.6846 Å, c = 8.9535 Å
α = 60.99°, β = 60.99°, γ = 90.00°
With the nearest neighbours (Å) after each atom.
Fractional positions:
Cs 0.2500 0.7500 0.5000  12 I 4.37-4.49
Cs 0.7500 0.2500 0.5000  12 I 4.37-4.49
I 0.2255 0.7745 0.0000  1 Re 2.77
I 0.7745 0.7745 0.0000  1 Re 2.77
I 0.2255 0.2255 0.0000  1 Re 2.77
I 0.7899 0.7899 0.4201  1 Re 2.74
I 0.5000 0.5000 0.0000  4 I 3.37
I 0.2101 0.2101 0.5799  1 Re 2.74
I 0.7745 0.2255 0.0000  1 Re 2.77
Re 0.0000 0.0000 0.0000  6 I 2.74-2.77

Computed properties:
Uncorrected formation energy ... -5.21 eV per formula unit
Spin magnetization ... 3.18 Bohr magnetons per cell
ρ ... 4.5 g cm⁻³
Calculated total energy ... -30.2 eV for the cell shown

---

(3)
Entry from Alexandria via LeMat-Bulk: a geometry-optimized TbCo4Si4 structure (GGA-PBE).

a = 4.1672 Å, b = 7.7616 Å, c = 7.7616 Å
α = 90.00°, β = 90.00°, γ = 90.00°
With the nearest neighbours (Å) after each atom.
Fractional positions:
Tb 0.5000 0.5000 0.5000  12 Si 3.12-3.30, 4 Co 3.13
Tb 0.0000 0.0000 0.0000  12 Si 3.12-3.30, 4 Co 3.13
Si 0.0000 0.2122 0.3407  4 Co 2.23-2.25
Si 0.5000 0.1593 0.7122  4 Co 2.23-2.25
Si 0.5000 0.8407 0.2878  4 Co 2.23-2.25
Si 0.5000 0.7122 0.8407  4 Co 2.23-2.25
Si 0.0000 0.6593 0.2122  4 Co 2.23-2.25
Si 0.5000 0.2878 0.1593  4 Co 2.23-2.25
Si 0.0000 0.7878 0.6593  4 Co 2.23-2.25
Si 0.0000 0.3407 0.7878  4 Co 2.23-2.25
Co 0.5000 0.3867 0.8874  4 Si 2.23-2.25, 1 Co 2.48
Co 0.0000 0.6126 0.8867  4 Si 2.23-2.25, 1 Co 2.48
Co 0.0000 0.3874 0.1133  4 Si 2.23-2.25, 1 Co 2.48
Co 0.0000 0.8867 0.3874  4 Si 2.23-2.25, 1 Co 2.48
Co 0.5000 0.8874 0.6133  4 Si 2.23-2.25, 1 Co 2.48
Co 0.5000 0.6133 0.1126  4 Si 2.23-2.25, 1 Co 2.48
Co 0.0000 0.1133 0.6126  4 Si 2.23-2.25, 1 Co 2.48
Co 0.5000 0.1126 0.3867  4 Si 2.23-2.25, 1 Co 2.48

Computed properties:
Uncorrected formation energy ... -4.97 eV per formula unit
Spin magnetization ... 0.00 Bohr magnetons per cell
ρ ... 6.7 g cm⁻³
Calculated total energy ... -119.4 eV for the cell shown

---

(4)
Entry from Alexandria via LeMat-Bulk: a geometry-optimized YNb2InIr structure (GGA-PBE).

a = 4.9891 Å, b = 5.3886 Å, c = 4.9891 Å
α = 90.00°, β = 90.00°, γ = 90.00°
With the nearest neighbours (Å) after each atom.
Fractional positions:
Y 0.0000 0.5000 0.0000  2 In 2.69
Nb 0.0000 0.0000 0.5000  2 In 2.49
Nb 0.5000 0.0000 0.0000  2 In 2.49
In 0.0000 0.0000 0.0000  4 Nb 2.49, 2 Y 2.69
Ir 0.5000 0.5000 0.5000  4 Y 3.53, 8 Nb 3.67

Computed properties:
Spin magnetization ... 2.27 Bohr magnetons per cell
ρ ... 7.2 g cm⁻³
Calculated total energy ... -29.2 eV for the cell shown

---

Question: Which formula does entry 2 have?
Answer: Cs2ReI7

---

Question: Number 2 is which compound?
Answer: Cs2ReI7

---

Question: Among the records above, which one has the highest ρ?
Answer: Li3Hg10Pb